Version A
An optimized crystal structure of BaAlOs3, computed with PBE.

abc: 4.701 4.701 4.701
angles: 90.00 90.00 90.00
Sites, in units of the cell vectors:
Ba 0.000 0.000 0.000
Al 0.500 0.500 0.500
Os 0.000 0.500 0.500
Os 0.500 0.000 0.500
Os 0.500 0.500 0.000

- symmetry = Pm-3m (221)
- total magnetic moment (μB per formula unit) = 2.0
- density of states at the Fermi level (states/eV per atom) = 1.3569

=====

Version B
An optimized crystal structure of BaAlOs3, computed with PBE.

abc: 5.004 5.004 5.004
angles: 90.00 90.00 90.00
Sites, in units of the cell vectors:
Ba 0.000 0.000 0.000
Al 0.500 0.500 0.500
Os 0.000 0.000 0.500
Os 0.000 0.500 0.000
Os 0.500 0.000 0.000

- symmetry = Pm-3m (221)
- total magnetic moment (μB per formula unit) = 0.6
- density of states at the Fermi level (states/eV per atom) = 2.0666

=====

According to the calculations, the structures order from most to least stable as version A, version B.

=====

Version A
An optimized crystal structure of BaAlP3, computed with PBE.

abc: 4.845 4.845 4.845
angles: 90.00 90.00 90.00
Sites, in units of the cell vectors:
Ba 0.000 0.000 0.000
Al 0.500 0.500 0.500
P 0.000 0.500 0.500
P 0.500 0.000 0.500
P 0.500 0.500 0.000

- symmetry = Pm-3m (221)
- total magnetic moment (μB per formula unit) = 0.0
- density of states at the Fermi level (states/eV per atom) = 0.9391

=====

Version B
An optimized crystal structure of BaAlP3, computed with PBE.

abc: 5.687 5.687 5.687
angles: 90.00 90.00 90.00
Sites, in units of the cell vectors:
Ba 0.000 0.000 0.000
Al 0.500 0.500 0.500
P 0.000 0.000 0.500
P 0.000 0.500 0.000
P 0.500 0.000 0.000

- symmetry = Pm-3m (221)
- total magnetic moment (μB per formula unit) = 0.0
- density of states at the Fermi level (states/eV per atom) = 1.4749

=====

According to the calculations, the structures order from most to least stable as version A, version B.